# KTa2Ge, relaxed, DFT PBE
# DFT formation energy   1.195 eV per atom
# V   28.1 Å³ per atom
# Mass density   7.0 g cm⁻³
data_KTa2Ge
_space_group_name_H-M_alt 'I -4 2 d'
_space_group_IT_number 122
_space_group_name_Hall 'I -4 2bw'
_cell_length_a 4.845
_cell_length_b 4.845
_cell_length_c 19.136
_cell_angle_alpha 90.00
_cell_angle_beta 90.00
_cell_angle_gamma 90.00
loop_
_atom_site_label
_atom_site_fract_x
_atom_site_fract_y
_atom_site_fract_z
K1 0.000 0.000 0.000
Ta1 0.072 0.250 0.625
Ge1 0.000 0.000 0.500

***

# PrIn4Pd4, relaxed, DFT PBE
# DFT formation energy   -0.399 eV per atom
# V   23.8 Å³ per atom
# Mass density   8.0 g cm⁻³
data_PrIn4Pd4
_space_group_name_H-M_alt 'P 42/n'
_space_group_IT_number 86
_cell_length_a 8.888
_cell_length_b 8.888
_cell_length_c 5.418
_cell_angle_alpha 90.00
_cell_angle_beta 90.00
_cell_angle_gamma 90.00
loop_
_space_group_symop_operation_xyz
'x,y,z'
'-x,-y,-z'
'-y,x+1/2,z+1/2'
'y,-x+1/2,-z+1/2'
'-x+1/2,-y+1/2,z'
'x+1/2,y+1/2,-z'
'y+1/2,-x,z+1/2'
'-y+1/2,x,-z+1/2'
loop_
_atom_site_label
_atom_site_fract_x
_atom_site_fract_y
_atom_site_fract_z
Pr1 0.250 0.250 0.250
In1 0.092 0.639 0.159
Pd1 0.052 0.609 0.661

***

# ZrAuI2Br, relaxed, DFT PBE
# V   37.3 Å³ per atom
# Formation energy (no corrections)   0.88 eV/atom
# Mass density   5.5 g cm⁻³
data_ZrAuI2Br
_space_group_name_H-M_alt 'P 4/m m m'
_space_group_IT_number 123
_space_group_name_Hall '-P 4 2'
_cell_length_a 6.153
_cell_length_b 6.153
_cell_length_c 4.924
_cell_angle_alpha 90.00
_cell_angle_beta 90.00
_cell_angle_gamma 90.00
loop_
_atom_site_label
_atom_site_fract_x
_atom_site_fract_y
_atom_site_fract_z
Zr1 0.000 0.000 0.000
Au1 0.500 0.500 0.000
I1 0.000 0.500 0.500
Br1 0.500 0.500 0.500

***

# Pu3PaTe6, relaxed, DFT PBE
# Relative energy among the computed polymorphs   1.10 eV/f.u.
# V   34.3 Å³ per atom
# Formation energy (no corrections)   -0.82 eV/atom
# Mass density   8.4 g cm⁻³
data_Pu3PaTe6
_space_group_name_H-M_alt 'C m c 21'
_space_group_IT_number 36
_space_group_name_Hall 'C 2c -2'
_cell_length_a 11.993
_cell_length_b 15.010
_cell_length_c 7.618
_cell_angle_alpha 90.00
_cell_angle_beta 90.00
_cell_angle_gamma 90.00
loop_
_atom_site_label
_atom_site_fract_x
_atom_site_fract_y
_atom_site_fract_z
Pu1 0.000 0.091 0.000
Pu2 0.182 0.398 0.881
Pa1 0.000 0.338 0.371
Te1 0.000 0.260 0.729
Te2 0.000 0.496 0.118
Te3 0.169 0.039 0.699
Te4 0.169 0.236 0.168

***

# RbHg2S3, relaxed, DFT PBE
# Relative energy among the computed polymorphs   0.48 eV/f.u.
# V   26.3 Å³ per atom
# Formation energy (no corrections)   -0.20 eV/atom
# Mass density   6.1 g cm⁻³
data_RbHg2S3
_space_group_name_H-M_alt 'P m c 21'
_space_group_IT_number 26
_space_group_name_Hall 'P 2c -2'
_cell_length_a 3.809
_cell_length_b 11.608
_cell_length_c 7.134
_cell_angle_alpha 90.00
_cell_angle_beta 90.00
_cell_angle_gamma 90.00
loop_
_atom_site_label
_atom_site_fract_x
_atom_site_fract_y
_atom_site_fract_z
Rb1 0.000 0.144 0.000
Hg1 0.000 0.219 0.498
Hg2 0.500 0.483 0.021
S1 0.000 0.413 0.766
S2 0.500 0.095 0.623
S3 0.500 0.315 0.300

***

# CuTc2Ge2, relaxed, DFT PBE
# Relative energy among the computed polymorphs   0.00 eV/f.u.
# DFT formation energy   0.044 eV per atom
# V   15.1 Å³ per atom
# Mass density   8.9 g cm⁻³
data_CuTc2Ge2
_space_group_name_H-M_alt 'P 4/m b m'
_space_group_IT_number 127
_space_group_name_Hall '-P 4 2ab'
_cell_length_a 6.800
_cell_length_b 6.800
_cell_length_c 3.261
_cell_angle_alpha 90.00
_cell_angle_beta 90.00
_cell_angle_gamma 90.00
loop_
_atom_site_label
_atom_site_fract_x
_atom_site_fract_y
_atom_site_fract_z
Cu1 0.000 0.000 0.000
Tc1 0.145 0.355 0.000
Ge1 0.154 0.654 0.500

***

# Tb2Cd3Pd8, relaxed, DFT PBE
# DFT formation energy   -0.333 eV per atom
# V   19.6 Å³ per atom
# Mass density   9.8 g cm⁻³
data_Tb2Cd3Pd8
_space_group_name_H-M_alt 'R -3 m'
_space_group_IT_number 166
_space_group_name_Hall '-R 3 2"'
_cell_length_a 5.3641
_cell_length_b 5.3641
_cell_length_c 30.7337
_cell_angle_alpha 90.00
_cell_angle_beta 90.00
_cell_angle_gamma 120.00
loop_
_atom_site_label
_atom_site_fract_x
_atom_site_fract_y
_atom_site_fract_z
Tb1 0.0000 0.0000 0.1319
Cd1 0.0000 0.0000 0.3124
Cd2 0.0000 0.0000 0.5000
Pd1 0.0000 0.0000 0.2224
Pd2 0.0028 0.5014 0.2749

***

# NaAl2Tc, relaxed, DFT PBE
# DFT formation energy   0.695 eV per atom
# V   20.7 Å³ per atom
# Mass density   3.5 g cm⁻³
data_NaAl2Tc
_space_group_name_H-M_alt 'I -4 2 d'
_space_group_IT_number 122
_space_group_name_Hall 'I -4 2bw'
_cell_length_a 4.327
_cell_length_b 4.327
_cell_length_c 17.663
_cell_angle_alpha 90.00
_cell_angle_beta 90.00
_cell_angle_gamma 90.00
loop_
_atom_site_label
_atom_site_fract_x
_atom_site_fract_y
_atom_site_fract_z
Na1 0.000 0.000 0.000
Al1 0.170 0.250 0.625
Tc1 0.000 0.000 0.500

***

# Zn2CrTe, relaxed, DFT PBE
# V   20.6 Å³ per atom
# Formation energy (no corrections)   0.31 eV/atom
# Mass density   6.3 g cm⁻³
data_Zn2CrTe
_space_group_name_H-M_alt 'I -4 2 d'
_space_group_IT_number 122
_space_group_name_Hall 'I -4 2bw'
_cell_length_a 7.808
_cell_length_b 7.808
_cell_length_c 5.402
_cell_angle_alpha 90.00
_cell_angle_beta 90.00
_cell_angle_gamma 90.00
loop_
_atom_site_label
_atom_site_fract_x
_atom_site_fract_y
_atom_site_fract_z
Zn1 0.248 0.250 0.125
Cr1 0.000 0.000 0.000
Te1 0.000 0.000 0.500

***

# Y4InAg, relaxed, DFT PBE
# Relative energy among the computed polymorphs   0.86 eV/f.u.
# DFT formation energy   -0.121 eV per atom
# V   28.3 Å³ per atom
# Mass density   5.6 g cm⁻³
data_Y4InAg
_space_group_name_H-M_alt 'P 1 21/c 1'
_space_group_IT_number 14
_space_group_name_Hall '-P 2ybc'
_cell_length_a 6.229
_cell_length_b 9.346
_cell_length_c 6.102
_cell_angle_alpha 90.00
_cell_angle_beta 106.86
_cell_angle_gamma 90.00
loop_
_atom_site_label
_atom_site_fract_x
_atom_site_fract_y
_atom_site_fract_z
Y1 0.093 0.165 0.100
Y2 0.399 0.660 0.923
In1 0.500 0.000 0.000
Ag1 0.000 0.000 0.500

***

# K3Rb5Na2, relaxed, DFT PBE
# DFT formation energy   0.042 eV per atom
# V   75.8 Å³ per atom
# Mass density   1.3 g cm⁻³
data_K3Rb5Na2
_space_group_name_H-M_alt 'P 4/m b m'
_space_group_IT_number 127
_space_group_name_Hall '-P 4 2ab'
_cell_length_a 15.565
_cell_length_b 15.565
_cell_length_c 6.257
_cell_angle_alpha 90.00
_cell_angle_beta 90.00
_cell_angle_gamma 90.00
loop_
_atom_site_label
_atom_site_fract_x
_atom_site_fract_y
_atom_site_fract_z
K1 0.000 0.000 0.000
K2 0.169 0.331 0.000
Rb1 0.000 0.500 0.500
Rb2 0.078 0.796 0.500
Na1 0.123 0.623 0.000

***

# Tb6Er2Tm, relaxed, DFT PBE
# Relative energy among the computed polymorphs   0.00 eV/f.u.
# DFT formation energy   0.018 eV per atom
# V   31.2 Å³ per atom
# Mass density   8.6 g cm⁻³
data_Tb6Er2Tm
_space_group_name_H-M_alt 'P -1'
_space_group_IT_number 2
_space_group_name_Hall '-P 1'
_cell_length_a 3.536
_cell_length_b 8.649
_cell_length_c 9.340
_cell_angle_alpha 90.03
_cell_angle_beta 100.84
_cell_angle_gamma 90.08
loop_
_atom_site_label
_atom_site_fract_x
_atom_site_fract_y
_atom_site_fract_z
Tb1 0.111 0.166 0.221
Tb2 0.221 0.833 0.443
Tb3 0.334 0.500 0.668
Er1 0.445 0.168 0.890
Tm1 0.000 0.500 0.000

***

Number 1: VASP energy -98.56 eV/cell. Number 2: VASP energy -80.18 eV/cell. Number 3: VASP energy -12.18 eV/cell. Number 4: VASP energy -318.18 eV/cell. Number 5: VASP energy -30.26 eV/cell. Number 6: VASP energy -67.68 eV/cell. Number 7: VASP energy -173.63 eV/cell. Number 8: VASP energy -65.56 eV/cell. Number 9: VASP energy -56.23 eV/cell. Number 10: VASP energy -64.34 eV/cell. Number 11: VASP energy -20.70 eV/cell. Number 12: VASP energy -41.22 eV/cell.